[1]
Compound: PrCd3Pd2
Source: the Alexandria database
Functional: PBE-GGA
Structure: relaxed

a b c (Å): 8.6758 8.6758 8.6758
angles (deg): 152.69 114.92 71.94
With the nearest neighbours (Å) after each atom.
Fractional positions:
1 Pr 0.1333 0.1333 0.0000  6 Pd 3.09-3.19, 2 Cd 3.33
2 Pr 0.8667 0.8667 0.0000  6 Pd 3.09-3.19, 2 Cd 3.33
3 Cd 0.1231 0.3279 0.7952  3 Pd 2.79-2.82, 2 Cd 3.11
4 Cd 0.3482 0.0000 0.3482  4 Pd 2.79-3.05, 1 Cd 2.83
5 Cd 0.4672 0.6721 0.7952  3 Pd 2.79-2.82, 2 Cd 3.11
6 Cd 0.5328 0.3279 0.2048  3 Pd 2.79-2.82, 2 Cd 3.11
7 Cd 0.6518 0.0000 0.6518  4 Pd 2.79-3.05, 1 Cd 2.83
8 Cd 0.8769 0.6721 0.2048  3 Pd 2.79-2.82, 2 Cd 3.11
9 Pd 0.1456 0.5000 0.6456  1 Pd 2.72, 4 Cd 2.79
10 Pd 0.3076 0.8076 0.5000  6 Cd 2.82-3.05
11 Pd 0.6924 0.1924 0.5000  6 Cd 2.82-3.05
12 Pd 0.8544 0.5000 0.3544  1 Pd 2.72, 4 Cd 2.79

Computed properties:
- V: 268.45 Å³/cell
- Total magnetic moment: 0.00 μB/f.u.
- ΔH_f (0 K): -0.4448 eV per atom
- Total energy: -3.4299 eV per atom
- DOS at the Fermi energy: 6.12 states/eV/cell

---

[2]
Compound: Pr6Cd5Pd
Source: the Alexandria database
Functional: PBE-GGA
Structure: relaxed

a b c (Å): 9.3894 9.3894 5.4201
angles (deg): 106.72 106.72 48.55
With the nearest neighbours (Å) after each atom.
Fractional positions:
1 Pr 0.0795 0.6029 0.3417  1 Pd 3.17, 7 Cd 3.28-3.39
2 Pr 0.2337 0.7663 0.0000  2 Pd 3.26, 6 Cd 3.40-3.47, 1 Pr 3.61
3 Pr 0.3971 0.9205 0.6583  1 Pd 3.17, 7 Cd 3.28-3.39
4 Pr 0.6029 0.0795 0.3417  1 Pd 3.17, 7 Cd 3.28-3.39
5 Pr 0.7663 0.2337 0.0000  2 Pd 3.26, 6 Cd 3.40-3.47, 1 Pr 3.61
6 Pr 0.9205 0.3971 0.6583  1 Pd 3.17, 7 Cd 3.28-3.39
7 Cd 0.1821 0.1821 0.1816  8 Pr 3.28-3.47, 2 Cd 3.64-3.65
8 Cd 0.3321 0.3321 0.8331  8 Pr 3.36-3.41, 2 Cd 3.64-3.65
9 Cd 0.5000 0.5000 0.5000  8 Pr 3.28-3.40
10 Cd 0.6679 0.6679 0.1669  8 Pr 3.36-3.41, 2 Cd 3.64-3.65
11 Cd 0.8179 0.8179 0.8184  8 Pr 3.28-3.47, 2 Cd 3.64-3.65
12 Pd 0.0000 0.0000 0.5000  8 Pr 3.17-3.26

Computed properties:
- V: 339.85 Å³/cell
- Total magnetic moment: 0.00 μB/f.u.
- ΔH_f (0 K): -0.3753 eV per atom
- Total energy: -3.5791 eV per atom
- DOS at the Fermi energy: 12.17 states/eV/cell

---

[3]
Compound: Pr3Cd2Pd6
Source: the Alexandria database
Functional: PBE-GGA
Structure: relaxed

a b c (Å): 8.5447 8.5447 8.5447
angles (deg): 109.47 109.47 109.47
With the nearest neighbours (Å) after each atom.
Fractional positions:
1 Pr 0.0000 0.2995 0.2995  4 Pd 2.95
2 Pr 0.0000 0.7005 0.7005  4 Pd 2.95
3 Pr 0.2995 0.0000 0.2995  4 Pd 2.95
4 Pr 0.2995 0.2995 0.0000  4 Pd 2.95
5 Pr 0.7005 0.0000 0.7005  4 Pd 2.95
6 Pr 0.7005 0.7005 0.0000  4 Pd 2.95
7 Cd 0.0000 0.0000 0.5000  6 Pd 2.79
8 Cd 0.0000 0.5000 0.0000  6 Pd 2.79
9 Cd 0.5000 0.0000 0.0000  6 Pd 2.79
10 Cd 0.5000 0.5000 0.5000  6 Pd 2.79
11 Pd 0.0000 0.3428 0.6572  2 Cd 2.79, 6 Pd 2.86-3.10, 2 Pr 2.95
12 Pd 0.0000 0.6572 0.3428  2 Cd 2.79, 6 Pd 2.86-3.10, 2 Pr 2.95
13 Pd 0.3144 0.6572 0.6572  2 Cd 2.79, 6 Pd 2.86-3.10, 2 Pr 2.95
14 Pd 0.3428 0.0000 0.6572  2 Cd 2.79, 6 Pd 2.86-3.10, 2 Pr 2.95
15 Pd 0.3428 0.3428 0.6856  2 Cd 2.79, 6 Pd 2.86-3.10, 2 Pr 2.95
16 Pd 0.3428 0.6572 0.0000  2 Cd 2.79, 6 Pd 2.86-3.10, 2 Pr 2.95
17 Pd 0.3428 0.6856 0.3428  2 Cd 2.79, 6 Pd 2.86-3.10, 2 Pr 2.95
18 Pd 0.6572 0.0000 0.3428  2 Cd 2.79, 6 Pd 2.86-3.10, 2 Pr 2.95
19 Pd 0.6572 0.3144 0.6572  2 Cd 2.79, 6 Pd 2.86-3.10, 2 Pr 2.95
20 Pd 0.6572 0.3428 0.0000  2 Cd 2.79, 6 Pd 2.86-3.10, 2 Pr 2.95
21 Pd 0.6572 0.6572 0.3144  2 Cd 2.79, 6 Pd 2.86-3.10, 2 Pr 2.95
22 Pd 0.6856 0.3428 0.3428  2 Cd 2.79, 6 Pd 2.86-3.10, 2 Pr 2.95

Computed properties:
- V: 480.25 Å³/cell
- Total magnetic moment: 0.00 μB/f.u.
- ΔH_f (0 K): -0.6753 eV per atom
- Total energy: -4.9777 eV per atom
- DOS at the Fermi energy: 13.00 states/eV/cell